Computed, not measured: a relaxed AgBr2 crystal at the PBE level of DFT.

The value obtained for the formation energy from raw total energies is -0.6 eV/f.u. The calculation puts the calculated volume at 32.111 Å³/atom. As for the raw total energy: -2.27 eV/atom. The value obtained for the density of states at the Fermi level is 0.815 states/eV/atom.

Geometry as CIF:
```
data_AgBr2
_space_group_name_H-M_alt 'C m c m'
_space_group_IT_number 63
_space_group_name_Hall '-C 2c 2'
_cell_length_a 3.8287
_cell_length_b 12.9923
_cell_length_c 7.7464
_cell_angle_alpha 90.00
_cell_angle_beta 90.00
_cell_angle_gamma 90.00
loop_
_atom_site_label
_atom_site_fract_x
_atom_site_fract_y
_atom_site_fract_z
Ag1 0.0000 0.1826 0.2500
Br1 0.0000 0.1799 0.7500
Br2 0.0000 0.4530 0.7500
```